The following is a DFT calculation (GGA-PBE) of an optimized crystal structure of AlAgO2F.

Computed properties:
Formation energy from raw total energies: -1732 meV/atom
M_tot: 0.2038 μB/atom
Calculated volume: 10.7 Å³/atom

Lattice parameters (Å, degrees): 3.778 3.778 3.739 90.00 90.00 90.00
Space group P4/mmm (No. 123)
Asymmetric unit:
Al  0.000  0.000  0.000 [1 per cell]
Ag  0.500  0.500  0.500 [1 per cell]
O  0.000  0.500  0.000 [2 per cell]
F  0.000  0.000  0.500 [1 per cell]

The following is a DFT calculation (GGA-PBE) of an optimized crystal structure of AlAgO2F.

Computed properties:
Formation energy from raw total energies: -177 meV/atom
M_tot: 0.0000 μB/atom
Calculated volume: 14.0 Å³/atom

Lattice parameters (Å, degrees): 4.117 4.117 4.124 90.00 90.00 90.00
Space group P4/mmm (No. 123)
Asymmetric unit:
Al  0.000  0.000  0.000 [1 per cell]
Ag  0.500  0.500  0.500 [1 per cell]
O  0.000  0.500  0.500 [2 per cell]
F  0.500  0.500  0.000 [1 per cell]

The following is a DFT calculation (GGA-PBE) of an optimized crystal structure of Al2AgPF.

Computed properties:
Formation energy from raw total energies: 345 meV/atom
M_tot: 0.2000 μB/atom
Calculated volume: 23.5 Å³/atom

Lattice parameters (Å, degrees): 5.011 5.011 4.670 90.00 90.00 90.00
Space group P4/mmm (No. 123)
Asymmetric unit:
Al  0.000  0.500  0.000 [2 per cell]
Ag  0.000  0.000  0.000 [1 per cell]
P  0.000  0.000  0.500 [1 per cell]
F  0.500  0.500  0.500 [1 per cell]

The following is a DFT calculation (GGA-PBE) of an optimized crystal structure of AlAg2PbF8.

Computed properties:
Formation energy from raw total energies: -2205 meV/atom
M_tot: 0.0877 μB/atom
Calculated volume: 15.4 Å³/atom

Lattice parameters (Å, degrees): 4.935 5.335 7.017 93.27 90.62 92.38
Space group P-1 (No. 2)
Asymmetric unit:
Al  0.000  0.000  0.000 [1 per cell]
Ag  0.467  0.484  0.232 [2 per cell]
Pb  0.000  0.000  0.500 [1 per cell]
F  0.140  0.805  0.803 [2 per cell]
F  0.160  0.822  0.184 [2 per cell]
F  0.295  0.226  0.997 [2 per cell]
F  0.403  0.273  0.516 [2 per cell]

The following is a DFT calculation (GGA-PBE) of an optimized crystal structure of AlAgPbF6.

Computed properties:
Formation energy from raw total energies: -2591 meV/atom
M_tot: 0.0119 μB/atom
Calculated volume: 15.8 Å³/atom

Lattice parameters (Å, degrees): 5.244 5.244 10.340 90.00 90.00 90.00
Space group P4_2nm (No. 102)
Asymmetric unit:
Al  0.000  0.000  0.000 [2 per cell]
Ag  0.000  0.000  0.660 [2 per cell]
Pb  0.000  0.000  0.342 [2 per cell]
F  0.171  0.171  0.130 [4 per cell]
F  0.172  0.172  0.871 [4 per cell]
F  0.247  0.753  0.998 [4 per cell]

The following is a DFT calculation (GGA-PBE) of an optimized crystal structure of AlAg2PdF6.

Computed properties:
Formation energy from raw total energies: -1928 meV/atom
M_tot: 0.1027 μB/atom
Calculated volume: 13.6 Å³/atom

Lattice parameters (Å, degrees): 5.161 5.376 5.605 65.98 74.23 89.32
Space group P-1 (No. 2)
Asymmetric unit:
Al  0.000  0.000  0.000 [1 per cell]
Ag  0.306  0.691  0.520 [2 per cell]
Pd  0.500  0.500  0.000 [1 per cell]
F  0.098  0.648  0.161 [2 per cell]
F  0.247  0.062  0.678 [2 per cell]
F  0.252  0.126  0.113 [2 per cell]

The following is a DFT calculation (GGA-PBE) of an optimized crystal structure of AlAgPdF6.

Computed properties:
Formation energy from raw total energies: -2111 meV/atom
M_tot: 0.2316 μB/atom
Calculated volume: 13.8 Å³/atom

Lattice parameters (Å, degrees): 5.041 5.041 9.766 90.00 90.00 90.00
Space group P4_2nm (No. 102)
Asymmetric unit:
Al  0.000  0.000  0.000 [2 per cell]
Ag  0.000  0.000  0.339 [2 per cell]
Pd  0.000  0.000  0.660 [2 per cell]
F  0.170  0.170  0.855 [4 per cell]
F  0.188  0.188  0.130 [4 per cell]
F  0.244  0.244  0.509 [4 per cell]

The following is a DFT calculation (GGA-PBE) of an optimized crystal structure of AlAgPd2F.

Computed properties:
Formation energy from raw total energies: 293 meV/atom
M_tot: 0.0000 μB/atom
Calculated volume: 20.5 Å³/atom

Lattice parameters (Å, degrees): 5.061 5.061 3.997 90.00 90.00 90.00
Space group P4/mmm (No. 123)
Asymmetric unit:
Al  0.000  0.000  0.000 [1 per cell]
Ag  0.500  0.500  0.500 [1 per cell]
Pd  0.000  0.500  0.500 [2 per cell]
F  0.500  0.500  0.000 [1 per cell]

The following is a DFT calculation (GGA-PBE) of an optimized crystal structure of AlAgPtF2.

Computed properties:
Formation energy from raw total energies: -1240 meV/atom
M_tot: 0.0000 μB/atom
Calculated volume: 15.7 Å³/atom

Lattice parameters (Å, degrees): 3.668 3.668 5.837 90.00 90.00 90.00
Space group P4/mmm (No. 123)
Asymmetric unit:
Al  0.000  0.000  0.000 [1 per cell]
Ag  0.000  0.000  0.500 [1 per cell]
Pt  0.500  0.500  0.500 [1 per cell]
F  0.000  0.500  0.000 [2 per cell]

The following is a DFT calculation (GGA-PBE) of an optimized crystal structure of RbAl2AgF8.

Computed properties:
Formation energy from raw total energies: -2952 meV/atom
M_tot: 0.0114 μB/atom
Calculated volume: 17.4 Å³/atom

Lattice parameters (Å, degrees): 5.6149 5.6149 22.9430 90.00 90.00 120.00
Space group R-3 (No. 148, hexagonal axes)
Asymmetric unit:
Rb  0.0000  0.0000  0.0000 [3 per cell]
Al  0.0000  0.0000  0.2492 [6 per cell]
Ag  0.0000  0.0000  0.5000 [3 per cell]
F  0.0000  0.0000  0.3234 [6 per cell]
F  0.0239  0.3009  0.7725 [18 per cell]

The following is a DFT calculation (GGA-PBE) of an optimized crystal structure of Rb2Al3AgF12.

Computed properties:
Formation energy from raw total energies: -3153 meV/atom
M_tot: 0.0076 μB/atom
Calculated volume: 14.8 Å³/atom

Lattice parameters (Å, degrees): 7.1250 7.1250 18.1722 90.00 90.00 120.00
Space group R-3m (No. 166, hexagonal axes)
Asymmetric unit:
Rb  0.0000  0.0000  0.1227 [6 per cell]
Al  0.0000  0.5000  0.0000 [9 per cell]
Ag  0.0000  0.0000  0.5000 [3 per cell]
F  0.0180  0.5090  0.9023 [18 per cell]
F  0.0825  0.5412  0.3285 [18 per cell]

The following is a DFT calculation (GGA-PBE) of an optimized crystal structure of RbAlAg2F8.

Computed properties:
Formation energy from raw total energies: -2176 meV/atom
M_tot: 0.0000 μB/atom
Calculated volume: 15.7 Å³/atom

Lattice parameters (Å, degrees): 5.047 5.293 7.481 74.80 78.69 82.41
Space group P-1 (No. 2)
Asymmetric unit:
Rb  0.000  0.000  0.000 [1 per cell]
Al  0.000  0.000  0.500 [1 per cell]
Ag  0.404  0.477  0.244 [2 per cell]
F  0.107  0.759  0.699 [2 per cell]
F  0.235  0.831  0.335 [2 per cell]
F  0.267  0.210  0.497 [2 per cell]
F  0.470  0.271  0.021 [2 per cell]

> What is the M_tot in the third record?

0.2000 μB/atom

> What is the formula in the fourth record?

AlAg2PbF8

> Number 8 is which compound?

AlAgPd2F